(1)
In2AuCl | PBE | optimized geometry

Structure (CIF):
```
data_In2AuCl
_chemical_formula_sum 'In4 Au2 Cl2'
_space_group_name_H-M_alt 'A m m 2'
_space_group_IT_number 38
_space_group_name_Hall 'A 2 -2'
_cell_length_a 4.7203
_cell_length_b 3.6945
_cell_length_c 11.5693
_cell_angle_alpha 90.00
_cell_angle_beta 90.00
_cell_angle_gamma 90.00
loop_
_atom_site_label
_atom_site_fract_x
_atom_site_fract_y
_atom_site_fract_z
In1 0.0000 0.0000 0.0000
In2 0.5000 0.0000 0.2440
Au1 0.5000 0.0000 0.5012
Cl1 0.0000 0.0000 0.7617
```

Results
**Total magnetization**: 0.000 μB per cell
**Calculated volume**: 25.22 Å³ per atom
**Calculated total energy**: -3.05 eV per atom

=====

(2)
LiPm2P4Pd3 | PBE | optimized geometry

Structure (CIF):
```
data_LiPm2P4Pd3
_chemical_formula_sum 'Li1 Pm2 P4 Pd3'
_space_group_name_H-M_alt 'P -4 m 2'
_space_group_IT_number 115
_space_group_name_Hall 'P -4 -2'
_cell_length_a 4.2603
_cell_length_b 4.2603
_cell_length_c 9.6821
_cell_angle_alpha 90.00
_cell_angle_beta 90.00
_cell_angle_gamma 90.00
loop_
_atom_site_label
_atom_site_fract_x
_atom_site_fract_y
_atom_site_fract_z
Li1 0.0000 0.0000 0.0000
Pm1 0.0000 0.5000 0.7446
P1 0.0000 0.0000 0.5000
P2 0.0000 0.5000 0.1354
P3 0.5000 0.5000 0.5000
Pd1 0.0000 0.5000 0.3847
Pd2 0.5000 0.5000 0.0000
```

Results
**Total magnetization**: 0.000 μB per cell
**Formation energy**: -9.26 eV/f.u.
**Calculated volume**: 17.57 Å³ per atom

=====

(3)
PaGaCuPt | PBE | optimized geometry

Structure (CIF):
```
data_PaGaCuPt
_chemical_formula_sum 'Pa4 Ga4 Cu4 Pt4'
_space_group_name_H-M_alt 'F -4 3 m'
_space_group_IT_number 216
_space_group_name_Hall 'F -4 2 3'
_cell_length_a 6.6485
_cell_length_b 6.6485
_cell_length_c 6.6485
_cell_angle_alpha 90.00
_cell_angle_beta 90.00
_cell_angle_gamma 90.00
loop_
_atom_site_label
_atom_site_fract_x
_atom_site_fract_y
_atom_site_fract_z
Pa1 0.0000 0.0000 0.0000
Ga1 0.0000 0.0000 0.5000
Cu1 0.2500 0.2500 0.7500
Pt1 0.2500 0.2500 0.2500
```

Results
**Total magnetization**: 0.000 μB per cell
**Formation energy**: -2.00 eV/f.u.
**Calculated volume**: 18.37 Å³ per atom

=====

(4)
Ba5Sr2Au2 | PBE | optimized geometry

Structure (CIF):
```
data_Ba5Sr2Au2
_chemical_formula_sum 'Ba5 Sr2 Au2'
_space_group_name_H-M_alt 'P -3 m 1'
_space_group_IT_number 164
_space_group_name_Hall '-P 3 2"'
_cell_length_a 4.5747
_cell_length_b 4.5747
_cell_length_c 26.0194
_cell_angle_alpha 90.00
_cell_angle_beta 90.00
_cell_angle_gamma 120.00
loop_
_atom_site_label
_atom_site_fract_x
_atom_site_fract_y
_atom_site_fract_z
Ba1 0.0000 0.0000 0.0000
Ba2 0.3333 0.6667 0.1527
Ba3 0.3333 0.6667 0.5708
Sr1 0.0000 0.0000 0.2943
Au1 0.3333 0.6667 0.9207
```

Results
**Total magnetization**: 0.000 μB per cell
**Formation energy**: -2.67 eV/f.u.
**Calculated volume**: 52.40 Å³ per atom

=====

(5)
VNi2Se4 | PBE | optimized geometry

Structure (CIF):
```
data_VNi2Se4
_chemical_formula_sum 'V1 Ni2 Se4'
_space_group_name_H-M_alt 'P -4 2 m'
_space_group_IT_number 111
_space_group_name_Hall 'P -4 2'
_cell_length_a 5.6101
_cell_length_b 5.6101
_cell_length_c 5.3663
_cell_angle_alpha 90.00
_cell_angle_beta 90.00
_cell_angle_gamma 90.00
loop_
_atom_site_label
_atom_site_fract_x
_atom_site_fract_y
_atom_site_fract_z
V1 0.0000 0.0000 0.0000
Ni1 0.0000 0.5000 0.0000
Se1 0.2515 0.2515 0.2246
```

Results
**Total magnetization**: 0.000 μB per cell
**Calculated volume**: 24.13 Å³ per atom
**Calculated total energy**: -5.38 eV per atom

=====

(6)
Li2SiPt3 | PBE | optimized geometry

Structure (CIF):
```
data_Li2SiPt3
_chemical_formula_sum 'Li6 Si3 Pt9'
_space_group_name_H-M_alt 'R -3 m'
_space_group_IT_number 166
_space_group_name_Hall '-R 3 2"'
_cell_length_a 5.4218
_cell_length_b 5.4218
_cell_length_c 11.1749
_cell_angle_alpha 90.00
_cell_angle_beta 90.00
_cell_angle_gamma 120.00
loop_
_atom_site_label
_atom_site_fract_x
_atom_site_fract_y
_atom_site_fract_z
Li1 0.0000 0.0000 0.1211
Si1 0.0000 0.0000 0.5000
Pt1 0.0000 0.5000 0.0000
```

Results
**Total magnetization**: 0.000 μB per cell
**Calculated volume**: 15.80 Å³ per atom
**Calculated total energy**: -5.27 eV per atom